1.
Below is crystalline Al2FeBH at its relaxed geometry, with properties calculated at the PBE level. Values from VASP.

Structure (Quantum ESPRESSO input):
```
&SYSTEM
  ibrav = 0, nat = 5, ntyp = 4
/
ATOMIC_SPECIES
Fe 55.84 Fe.upf
Al 26.98 Al.upf
H 1.01 H.upf
B 10.81 B.upf
ATOMIC_POSITIONS crystal
Fe 0.000 0.000 0.000
Al 0.500 0.000 0.000
Al 0.000 0.000 0.500
H 0.000 0.500 0.000
B 0.500 0.500 0.500
CELL_PARAMETERS angstrom
-4.303 0.673 1.479
-1.049 -0.699 -2.732
-0.268 -4.423 1.234
```

Computed properties:
total energy	-21.43	eV per cell
calculated volume	12.73	A^3/atom
density	3.17	g/cm³
space group	P4/mmm (123)
M_tot	0.1899	μB/atom

***

2.
Below is crystalline TlZn2Br at its relaxed geometry, with properties calculated at the PBE level. Values from VASP.

Structure (Quantum ESPRESSO input):
```
&SYSTEM
  ibrav = 0, nat = 4, ntyp = 3
/
ATOMIC_SPECIES
Tl 204.38 Tl.upf
Br 79.90 Br.upf
Zn 65.41 Zn.upf
ATOMIC_POSITIONS crystal
Tl 0.000 0.500 0.500
Br 0.500 0.000 0.500
Zn 0.500 0.500 0.000
Zn 0.000 0.000 0.000
CELL_PARAMETERS angstrom
4.444 0.904 0.000
-0.904 4.444 0.000
0.000 0.000 5.537
```

Computed properties:
total energy	-6.62	eV per cell
excess energy over the best structure of this formula in the dataset	0.138	eV per atom
calculated volume	28.47	A^3/atom
density	6.05	g/cm³
uncorrected formation energy	-0.7	kJ per mole of atoms
space group	P4/mmm (123)
M_tot	0.0000	μB/atom

***

3.
Below is crystalline NpSi2Ni2 at its relaxed geometry, with properties calculated at the PBE level. Values from VASP.

Structure (Quantum ESPRESSO input):
```
&SYSTEM
  ibrav = 0, nat = 10, ntyp = 3
/
ATOMIC_SPECIES
Np 237.00 Np.upf
Ni 58.69 Ni.upf
Si 28.09 Si.upf
ATOMIC_POSITIONS crystal
Np 0.750 0.250 0.750
Np 0.250 0.750 0.250
Ni 0.750 0.750 0.500
Ni 0.250 0.250 0.500
Ni 0.250 0.750 0.876
Ni 0.750 0.250 0.124
Si 0.750 0.750 0.000
Si 0.250 0.250 0.000
Si 0.750 0.250 0.368
Si 0.250 0.750 0.632
CELL_PARAMETERS angstrom
-2.823 -1.508 -2.350
2.791 -1.601 -2.327
-0.151 -7.874 5.233
```

Computed properties:
total energy	-76.09	eV per cell
calculated volume	14.91	A^3/atom
density	9.15	g/cm³
uncorrected formation energy	-52.0	kJ per mole of atoms
space group	P4/nmm (129)
M_tot	0.7116	μB/atom

***

4.
Below is crystalline TaTc2Os2 at its relaxed geometry, with properties calculated at the PBE level. Values from VASP.

Structure (Quantum ESPRESSO input):
```
&SYSTEM
  ibrav = 0, nat = 10, ntyp = 3
/
ATOMIC_SPECIES
Tc 98.00 Tc.upf
Os 190.23 Os.upf
Ta 180.95 Ta.upf
ATOMIC_POSITIONS crystal
Tc 0.171 0.671 0.500
Tc 0.829 0.329 0.500
Tc 0.671 0.829 0.500
Tc 0.329 0.171 0.500
Os 0.124 0.376 0.000
Os 0.624 0.124 0.000
Os 0.376 0.876 0.000
Os 0.876 0.624 0.000
Ta 0.000 0.000 0.000
Ta 0.500 0.500 0.000
CELL_PARAMETERS angstrom
-1.908 -4.404 5.782
-4.364 -4.086 -4.553
2.152 -1.671 -0.563
```

Computed properties:
total energy	-109.51	eV per cell
excess energy over the best structure of this formula in the dataset	0.000	eV per atom
calculated volume	15.71	A^3/atom
density	16.01	g/cm³
space group	P4/mbm (127)
M_tot	0.0000	μB/atom
formation enthalpy at 0 K	0.058	eV/atom